# 1
Pm3Nd4Tl4: relaxed, PBE.

Results
total magnetic moment	0.000	μB per cell
DOS(E_F)	22.18	states/eV/cell
energy relative to the elements	-256	meV/atom

Cell: 3.7647 9.5951 19.5431 Å, 90.00 90.00 90.00°
With the nearest neighbours (Å) after each atom.
Space group Immm (No. 71)
Asymmetric unit:
Pm (0.0000, 0.0000, 0.0000) x2  4 Tl 3.27
Pm (0.0000, 0.5000, 0.0951) x4  6 Tl 3.20-3.39
Nd (0.0000, 0.3210, 0.3369) x8  4 Tl 3.33, 1 Nd 3.43
Tl (0.0000, 0.0000, 0.2727) x4  2 Pm 3.20, 6 Nd 3.33
Tl (0.0000, 0.2208, 0.5000) x4  6 Pm 3.27-3.39, 2 Nd 3.33

=====

# 2
PmNdTl2: relaxed, PBE.

Results
total magnetic moment	0.000	μB per cell
DOS(E_F)	9.12	states/eV/cell
energy relative to the elements	-386	meV/atom

Cell: 7.7874 7.7874 7.7874 Å, 90.00 90.00 90.00°
With the nearest neighbours (Å) after each atom.
Space group Fm-3m (No. 225)
Asymmetric unit:
Pm (0.0000, 0.0000, 0.0000) x4  8 Tl 3.37
Nd (0.0000, 0.0000, 0.5000) x4  8 Tl 3.37
Tl (0.2500, 0.2500, 0.2500) x8  4 Nd 3.37, 4 Pm 3.37

=====

# 3
PmNdTl2: relaxed, PBE.

Results
total magnetic moment	0.000	μB per cell
DOS(E_F)	6.68	states/eV/cell
energy relative to the elements	-270	meV/atom

Cell: 3.8894 3.8894 29.2636 Å, 90.00 90.00 120.00°
With the nearest neighbours (Å) after each atom.
Space group R-3m (No. 166, hexagonal axes)
Asymmetric unit:
Pm (0.0000, 0.0000, 0.0000) x3  6 Tl 3.30
Nd (0.0000, 0.0000, 0.5000) x3  6 Tl 3.33
Tl (0.0000, 0.0000, 0.2505) x6  3 Pm 3.30, 3 Nd 3.33

=====

# 4
Pm2Nd5Tl5: relaxed, PBE.

Results
total magnetic moment	0.000	μB per cell
DOS(E_F)	23.63	states/eV/cell
energy relative to the elements	-231	meV/atom

Cell: 12.0172 5.2497 12.7104 Å, 90.00 109.44 90.00°
With the nearest neighbours (Å) after each atom.
Space group C2/m (No. 12)
Asymmetric unit:
Pm (0.0616, 0.0000, 0.2648) x4  4 Tl 3.24-3.31, 2 Nd 3.57
Nd (0.0000, 0.5000, 0.0000) x2  6 Tl 3.36-3.66, 2 Nd 3.74
Nd (0.1512, 0.5000, 0.7861) x4  5 Tl 3.22-3.46, 1 Nd 3.55, 2 Pm 3.57
Nd (0.1534, 0.5000, 0.5076) x4  3 Tl 3.19-3.32, 3 Nd 3.55
Tl (0.0000, 0.0000, 0.5000) x2  4 Nd 3.19, 2 Pm 3.31, 2 Tl 3.57
Tl (0.1589, 0.0000, 0.9662) x4  5 Nd 3.22-3.46, 1 Pm 3.24, 2 Tl 3.34
Tl (0.2250, 0.5000, 0.2772) x4  3 Nd 3.25-3.32, 2 Pm 3.25, 1 Tl 3.57

=====

# 5
Pm5NdTl2: relaxed, PBE.

Results
total magnetic moment	0.002	μB per cell
DOS(E_F)	23.82	states/eV/cell
energy relative to the elements	-205	meV/atom
polymorph energy (0 for the lowest one)	0.000	eV/atom

Cell: 7.0200 14.0472 4.9758 Å, 90.00 90.00 90.00°
With the nearest neighbours (Å) after each atom.
Space group Pbam (No. 55)
Asymmetric unit:
Pm (0.0000, 0.0000, 0.0000) x2  6 Pm 3.51-3.52, 2 Nd 3.51, 4 Tl 3.51
Pm (0.0011, 0.2497, 0.0000) x4  4 Tl 3.51, 7 Pm 3.51-3.52, 1 Nd 3.52
Pm (0.2500, 0.1251, 0.5000) x4  4 Tl 3.50-3.52, 6 Pm 3.51-3.52, 2 Nd 3.52
Nd (0.0000, 0.5000, 0.0000) x2  8 Pm 3.51-3.52, 4 Tl 3.52
Tl (0.2486, 0.8744, 0.5000) x4  10 Pm 3.50-3.52, 2 Nd 3.52

=====

# 6
Pm7Nd3Tl2: relaxed, PBE.

Results
total magnetic moment	0.000	μB per cell
DOS(E_F)	16.23	states/eV/cell
energy relative to the elements	-26	meV/atom

Cell: 5.8170 3.6814 18.7972 Å, 90.00 93.67 90.00°
With the nearest neighbours (Å) after each atom.
Space group P2/m (No. 10)
Asymmetric unit:
Pm (0.0000, 0.0000, 0.0000) x1  4 Nd 3.44, 8 Pm 3.54-3.75
Pm (0.1793, 0.5000, 0.1680) x2  8 Pm 3.45-3.75, 1 Nd 3.77, 2 Tl 3.78
Pm (0.2580, 0.5000, 0.5353) x2  1 Tl 3.15, 2 Pm 3.19-3.20
Pm (0.3238, 0.0000, 0.8468) x2  2 Tl 3.26, 5 Pm 3.45-3.54, 2 Nd 3.52
Nd (0.2203, 0.0000, 0.3591) x2  4 Tl 3.63-3.64, 2 Nd 3.68, 8 Pm 3.78-4.03
Nd (0.5000, 0.5000, 0.0000) x1  10 Pm 3.44-3.77, 2 Nd 3.68
Tl (0.2936, 0.5000, 0.7035) x2  3 Pm 3.15-3.26

=====

# 7
Pm8Nd2Tl: relaxed, PBE.

Results
total magnetic moment	0.000	μB per cell
DOS(E_F)	28.54	states/eV/cell
energy relative to the elements	-40	meV/atom
polymorph energy (0 for the lowest one)	0.000	eV/atom

Cell: 18.4605 5.0778 8.1131 Å, 90.00 105.41 90.00°
With the nearest neighbours (Å) after each atom.
Space group C2/m (No. 12)
Asymmetric unit:
Pm (0.0442, 0.0000, 0.2256) x4  9 Pm 3.55-3.67, 1 Nd 3.58, 2 Tl 3.61
Pm (0.0892, 0.5000, 0.9417) x4  1 Tl 3.52, 8 Pm 3.55-3.71, 3 Nd 3.60-3.67
Pm (0.1359, 0.0000, 0.6774) x4  7 Pm 3.57-3.67, 2 Tl 3.59, 3 Nd 3.63-3.66
Pm (0.1786, 0.5000, 0.4085) x4  1 Tl 3.57, 8 Pm 3.57-3.71, 3 Nd 3.61-3.66
Nd (0.2235, 0.0000, 0.1349) x4  10 Pm 3.58-3.67, 2 Nd 3.65
Tl (0.0000, 0.5000, 0.5000) x2  12 Pm 3.52-3.61

=====

# 8
Pm7NdTl5: relaxed, PBE.

Results
total magnetic moment	0.001	μB per cell
DOS(E_F)	28.59	states/eV/cell
energy relative to the elements	-190	meV/atom

Cell: 6.7325 10.8825 11.1802 Å, 90.00 90.00 90.00°
With the nearest neighbours (Å) after each atom.
Space group Imm2 (No. 44)
Asymmetric unit:
Pm (0.0000, 0.0000, 0.0000) x2  6 Tl 3.34-3.45, 1 Pm 3.63
Pm (0.0000, 0.0000, 0.3251) x2  4 Tl 3.40, 5 Pm 3.63-3.71, 1 Nd 3.77
Pm (0.0000, 0.3094, 0.2048) x4  5 Tl 3.27-3.38, 2 Pm 3.40-3.63
Pm (0.0000, 0.3376, 0.6882) x4  5 Tl 3.33-3.47, 2 Pm 3.54-3.55, 1 Nd 3.68
Pm (0.0000, 0.5000, 0.9638) x2  4 Tl 3.13, 2 Pm 3.40
Nd (0.0000, 0.0000, 0.6626) x2  10 Pm 3.68-4.03, 4 Tl 3.92
Tl (0.0000, 0.5000, 0.4320) x2  4 Tl 3.28, 6 Pm 3.28-3.45
Tl (0.2471, 0.2409, 0.4480) x8  7 Pm 3.13-3.47, 3 Tl 3.28-3.40